# FeCo2O4

FeCo2O4 after structural relaxation (PBE with a Hubbard U, Alexandria).

Output
Crystal system: monoclinic
SG: No. 9
Energy relative to the lowest polymorph listed for this composition (meV/atom): 74.6

```
FeCo2O4
1.0
2.879 -4.784 0.000
2.879 4.784 0.000
-2.814 0.000 5.341
Fe Co O
2 4 8
direct
0.133 0.867 0.500
0.867 0.133 0.000
0.134 0.822 0.974
0.432 0.585 0.545
0.585 0.432 0.045
0.822 0.134 0.474
0.067 0.585 0.167
0.082 0.560 0.638
0.121 0.155 0.339
0.155 0.121 0.839
0.560 0.082 0.138
0.585 0.067 0.667
0.695 0.727 0.375
0.727 0.695 0.875
```